Pm2MgIn2 PBE-GGA optimized geometry; density of states at the Fermi level = 4.5 states/eV/f.u.; energy of formation = -0.34 eV per atom; energy relative to the lowest polymorph listed for this composition = 57 meV/atom; mass density = 6.534 g cm⁻³; SG = Cmc2_1
1.0
4.668 0.000 0.000
0.000 6.495 0.000
-2.334 0.000 9.120
Pm Mg In
4 2 4
direct
0.001 0.821 0.002
0.793 0.335 0.586
0.207 0.835 0.414
0.999 0.321 0.998
0.392 0.072 0.783
0.608 0.572 0.217
0.398 0.570 0.797
0.825 0.837 0.649
0.175 0.337 0.351
0.602 0.070 0.203